(1)
# GGA-PBE Pr6Zn5Ge, optimized geometry
# space-group type = No. 65
# E_tot = -3.6770 eV per atom
data_Pr6Zn5Ge
_chemical_formula_sum 'Pr6 Zn5 Ge1'
_space_group_name_H-M_alt 'P 1'
_space_group_IT_number 1
_space_group_name_Hall 'P 1'
_cell_length_a 8.316
_cell_length_b 8.316
_cell_length_c 7.438
_cell_angle_alpha 90.00
_cell_angle_beta 90.00
_cell_angle_gamma 143.34
loop_
_atom_site_label
_atom_site_fract_x
_atom_site_fract_y
_atom_site_fract_z
Pr1 0.000 0.000 0.244
Pr2 0.000 0.000 0.756
Pr3 0.336 0.664 0.250
Pr4 0.336 0.664 0.750
Pr5 0.664 0.336 0.250
Pr6 0.664 0.336 0.750
Zn1 0.167 0.833 0.500
Zn2 0.175 0.825 0.000
Zn3 0.500 0.500 0.500
Zn4 0.825 0.175 0.000
Zn5 0.833 0.167 0.500
Ge1 0.500 0.500 0.000

***

(2)
# GGA-PBE La2Tb12Pm5, optimized geometry
# space-group type = No. 12
# E_tot = -4.5600 eV per atom
data_La2Tb12Pm5
_chemical_formula_sum 'La2 Tb12 Pm5'
_space_group_name_H-M_alt 'P 1'
_space_group_IT_number 1
_space_group_name_Hall 'P 1'
_cell_length_a 9.174
_cell_length_b 9.174
_cell_length_c 8.717
_cell_angle_alpha 91.55
_cell_angle_beta 91.55
_cell_angle_gamma 61.43
loop_
_atom_site_label
_atom_site_fract_x
_atom_site_fract_y
_atom_site_fract_z
La1 0.177 0.823 0.000
La2 0.823 0.177 0.000
Tb1 0.060 0.060 0.335
Tb2 0.062 0.682 0.340
Tb3 0.171 0.527 0.758
Tb4 0.318 0.938 0.660
Tb5 0.419 0.419 0.123
Tb6 0.473 0.829 0.242
Tb7 0.527 0.171 0.758
Tb8 0.581 0.581 0.877
Tb9 0.682 0.062 0.340
Tb10 0.829 0.473 0.242
Tb11 0.938 0.318 0.660
Tb12 0.940 0.940 0.665
Pm1 0.205 0.205 0.018
Pm2 0.270 0.270 0.427
Pm3 0.500 0.500 0.500
Pm4 0.730 0.730 0.573
Pm5 0.795 0.795 0.982

***

(3)
# GGA-PBE Nd6Sb3Te2Se, optimized geometry
# formation energy without anion corrections = -1.399 eV per atom
# space-group type = No. 12
# E_tot = -5.6274 eV per atom
data_Nd6Sb3Te2Se
_chemical_formula_sum 'Nd6 Sb3 Te2 Se1'
_space_group_name_H-M_alt 'P 1'
_space_group_IT_number 1
_space_group_name_Hall 'P 1'
_cell_length_a 10.008
_cell_length_b 10.008
_cell_length_c 8.944
_cell_angle_alpha 102.81
_cell_angle_beta 102.81
_cell_angle_gamma 25.85
loop_
_atom_site_label
_atom_site_fract_x
_atom_site_fract_y
_atom_site_fract_z
Nd1 0.003 0.003 0.258
Nd2 0.336 0.336 0.910
Nd3 0.338 0.338 0.424
Nd4 0.662 0.662 0.576
Nd5 0.664 0.664 0.090
Nd6 0.997 0.997 0.742
Sb1 0.170 0.170 0.336
Sb2 0.500 0.500 0.000
Sb3 0.830 0.830 0.664
Te1 0.166 0.166 0.834
Te2 0.834 0.834 0.166
Se1 0.500 0.500 0.500

***

(4)
# GGA-PBE Ce3Pu2Se8, optimized geometry
# formation energy without anion corrections = -1.548 eV per atom
# space-group type = No. 65
# E_tot = -7.2664 eV per atom
data_Ce3Pu2Se8
_chemical_formula_sum 'Ce3 Pu2 Se8'
_space_group_name_H-M_alt 'P 1'
_space_group_IT_number 1
_space_group_name_Hall 'P 1'
_cell_length_a 8.693
_cell_length_b 8.693
_cell_length_c 4.937
_cell_angle_alpha 90.00
_cell_angle_beta 90.00
_cell_angle_gamma 108.74
loop_
_atom_site_label
_atom_site_fract_x
_atom_site_fract_y
_atom_site_fract_z
Ce1 0.000 0.000 0.000
Ce2 0.280 0.280 0.500
Ce3 0.720 0.720 0.500
Pu1 0.262 0.738 0.000
Pu2 0.738 0.262 0.000
Se1 0.116 0.365 0.000
Se2 0.119 0.881 0.500
Se3 0.365 0.116 0.000
Se4 0.371 0.629 0.500
Se5 0.629 0.371 0.500
Se6 0.635 0.884 0.000
Se7 0.881 0.119 0.500
Se8 0.884 0.635 0.000

***

(5)
# GGA-PBE Li3Zn4Ag, optimized geometry
# space-group type = No. 44
# E_tot = -1.8030 eV per atom
data_Li3Zn4Ag
_chemical_formula_sum 'Li3 Zn4 Ag1'
_space_group_name_H-M_alt 'P 1'
_space_group_IT_number 1
_space_group_name_Hall 'P 1'
_cell_length_a 5.831
_cell_length_b 5.831
_cell_length_c 5.831
_cell_angle_alpha 127.18
_cell_angle_beta 78.24
_cell_angle_gamma 126.83
loop_
_atom_site_label
_atom_site_fract_x
_atom_site_fract_y
_atom_site_fract_z
Li1 0.000 0.000 0.000
Li2 0.001 0.249 0.752
Li3 0.497 0.249 0.248
Zn1 0.501 0.747 0.753
Zn2 0.504 0.255 0.751
Zn3 0.504 0.753 0.249
Zn4 0.994 0.747 0.247
Ag1 0.992 0.492 0.500

***

(6)
# GGA-PBE YCo2Se, optimized geometry
# formation energy without anion corrections = -0.306 eV per atom
# space-group type = No. 6
# E_tot = -6.3460 eV per atom
data_YCo2Se
_chemical_formula_sum 'Y1 Co2 Se1'
_space_group_name_H-M_alt 'P 1'
_space_group_IT_number 1
_space_group_name_Hall 'P 1'
_cell_length_a 3.641
_cell_length_b 3.645
_cell_length_c 5.299
_cell_angle_alpha 90.00
_cell_angle_beta 91.06
_cell_angle_gamma 90.00
loop_
_atom_site_label
_atom_site_fract_x
_atom_site_fract_y
_atom_site_fract_z
Y1 0.000 0.000 0.000
Co1 0.508 0.000 0.427
Co2 0.989 0.500 0.427
Se1 0.493 0.500 0.741

***

(7)
# GGA-PBE PmCu2, optimized geometry
# space-group type = No. 139
# E_tot = -4.4093 eV per atom
data_PmCu2
_chemical_formula_sum 'Pm1 Cu2'
_space_group_name_H-M_alt 'P 1'
_space_group_IT_number 1
_space_group_name_Hall 'P 1'
_cell_length_a 5.326
_cell_length_b 5.326
_cell_length_c 5.326
_cell_angle_alpha 142.19
_cell_angle_beta 142.19
_cell_angle_gamma 54.55
loop_
_atom_site_label
_atom_site_fract_x
_atom_site_fract_y
_atom_site_fract_z
Pm1 0.000 0.000 0.000
Cu1 0.307 0.307 0.000
Cu2 0.693 0.693 0.000

***

(8)
# GGA-PBE TmScTl6, optimized geometry
# space-group type = No. 123
# E_tot = -3.2617 eV per atom
data_TmScTl6
_chemical_formula_sum 'Tm1 Sc1 Tl6'
_space_group_name_H-M_alt 'P 1'
_space_group_IT_number 1
_space_group_name_Hall 'P 1'
_cell_length_a 4.716
_cell_length_b 4.716
_cell_length_c 9.420
_cell_angle_alpha 90.00
_cell_angle_beta 90.00
_cell_angle_gamma 90.00
loop_
_atom_site_label
_atom_site_fract_x
_atom_site_fract_y
_atom_site_fract_z
Tm1 0.000 0.000 0.000
Sc1 0.000 0.000 0.500
Tl1 0.000 0.500 0.254
Tl2 0.000 0.500 0.746
Tl3 0.500 0.000 0.254
Tl4 0.500 0.000 0.746
Tl5 0.500 0.500 0.000
Tl6 0.500 0.500 0.500

***

(9)
# GGA-PBE Li2TlRhN, optimized geometry
# formation energy without anion corrections = -0.253 eV per atom
# space-group type = No. 123
# E_tot = -4.6271 eV per atom
data_Li2TlRhN
_chemical_formula_sum 'Li2 Tl1 Rh1 N1'
_space_group_name_H-M_alt 'P 1'
_space_group_IT_number 1
_space_group_name_Hall 'P 1'
_cell_length_a 4.397
_cell_length_b 4.397
_cell_length_c 3.791
_cell_angle_alpha 90.00
_cell_angle_beta 90.00
_cell_angle_gamma 90.00
loop_
_atom_site_label
_atom_site_fract_x
_atom_site_fract_y
_atom_site_fract_z
Li1 0.000 0.500 0.000
Li2 0.500 0.000 0.000
Tl1 0.000 0.000 0.500
Rh1 0.500 0.500 0.500
N1 0.500 0.500 0.000